[1]
Er3Zr2Pb3 | PBE | optimized geometry

Values from the calculation:
Its calculated total energy is -90.689 eV for the cell shown. The value obtained for the volume is 210.7 Å³/f.u.

a = 6.148 Å, b = 8.897 Å, c = 8.897 Å
α = 120.00°, β = 90.00°, γ = 90.00°
Fractional coordinates of all 16 atoms:
Pb: 0.250 0.398 0.000
Er: 0.250 0.239 0.239
Pb: 0.750 0.602 0.000
Zr: 0.500 0.333 0.667
Pb: 0.750 0.000 0.602
Pb: 0.250 0.000 0.398
Er: 0.750 0.239 0.000
Zr: 0.500 0.667 0.333
Er: 0.750 0.000 0.239
Zr: 0.000 0.333 0.667
Pb: 0.750 0.398 0.398
Pb: 0.250 0.602 0.602
Er: 0.750 0.761 0.761
Zr: 0.000 0.667 0.333
Er: 0.250 0.761 0.000
Er: 0.250 0.000 0.761

[2]
ErPd2 | PBE | optimized geometry

Values from the calculation:
Its calculated total energy is -34.229 eV for the cell shown. The value obtained for the volume is 60.9 Å³/f.u.

a = 3.816 Å, b = 5.255 Å, c = 7.122 Å
α = 67.96°, β = 89.82°, γ = 111.30°
Fractional coordinates of all 6 atoms:
Pd: 0.871 0.745 0.447
Er: 0.366 0.738 0.754
Er: 0.628 0.260 0.248
Pd: 0.123 0.252 0.555
Pd: 0.632 0.272 0.841
Pd: 0.362 0.726 0.161

[3]
Er5Pd6 | PBE | optimized geometry

Values from the calculation:
Its calculated total energy is -62.931 eV for the cell shown. The value obtained for the volume is 243.3 Å³/f.u.

a = 4.826 Å, b = 6.995 Å, c = 8.366 Å
α = 114.71°, β = 106.76°, γ = 90.00°
Fractional coordinates of all 11 atoms:
Pd: 0.824 0.093 0.647
Er: 0.325 0.325 0.651
Pd: 0.176 0.446 0.353
Pd: 0.824 0.554 0.647
Pd: 0.176 0.907 0.353
Er: 0.000 0.500 0.000
Er: 0.675 0.675 0.349
Er: 0.643 0.143 0.286
Pd: 0.500 0.283 0.000
Pd: 0.500 0.717 0.000
Er: 0.357 0.857 0.714

[4]
ErPd2 | PBE | optimized geometry

Values from the calculation:
Its calculated total energy is -17.380 eV for the cell shown. The value obtained for the volume is 56.8 Å³/f.u.

a = 3.542 Å, b = 3.542 Å, c = 5.169 Å
α = 110.01°, β = 110.01°, γ = 90.02°
Fractional coordinates of all 3 atoms:
Er: 0.500 0.500 0.000
Pd: 0.166 0.166 0.332
Pd: 0.834 0.834 0.668

[5]
ErPd3 | PBE | optimized geometry

Values from the calculation:
Its calculated total energy is -23.117 eV for the cell shown. The value obtained for the volume is 71.1 Å³/f.u.

a = 4.649 Å, b = 4.649 Å, c = 4.649 Å
α = 60.00°, β = 60.00°, γ = 60.00°
Fractional coordinates of all 4 atoms:
Pd: 0.750 0.750 0.750
Er: 0.500 0.500 0.500
Pd: 0.250 0.250 0.250
Pd: 0.000 0.000 0.000

[6]
ErPd3 | PBE | optimized geometry

Values from the calculation:
Its calculated total energy is -23.381 eV for the cell shown. The value obtained for the volume is 70.2 Å³/f.u.

a = 4.152 Å, b = 4.152 Å, c = 5.021 Å
α = 114.43°, β = 114.43°, γ = 90.00°
Fractional coordinates of all 4 atoms:
Pd: 0.500 0.500 0.000
Er: 0.000 0.000 0.000
Pd: 0.250 0.750 0.500
Pd: 0.750 0.250 0.500

[7]
Er5Pd | PBE | optimized geometry

Values from the calculation:
Its calculated total energy is -28.918 eV for the cell shown. The value obtained for the volume is 163.1 Å³/f.u.

a = 5.393 Å, b = 3.748 Å, c = 8.284 Å
α = 103.08°, β = 90.00°, γ = 90.00°
Fractional coordinates of all 6 atoms:
Er: 0.000 0.643 0.287
Er: 0.000 0.357 0.713
Pd: 0.000 0.000 0.000
Er: 0.500 0.170 0.340
Er: 0.500 0.830 0.660
Er: 0.500 0.500 0.000

[8]
Er5Pd3 | PBE | optimized geometry

Values from the calculation:
Its calculated total energy is -88.221 eV for the cell shown. The value obtained for the volume is 189.2 Å³/f.u. The offset from the most stable computed form is 0.003 eV/atom.

a = 6.145 Å, b = 8.431 Å, c = 8.431 Å
α = 120.00°, β = 90.00°, γ = 90.00°
Fractional coordinates of all 16 atoms:
Pd: 0.750 0.398 0.398
Er: 0.750 0.757 0.757
Pd: 0.750 0.602 0.000
Er: 0.000 0.667 0.333
Er: 0.250 0.757 0.000
Pd: 0.250 0.398 0.000
Er: 0.750 0.243 0.000
Pd: 0.250 0.000 0.398
Er: 0.250 0.243 0.243
Er: 0.250 0.000 0.757
Er: 0.750 0.000 0.243
Pd: 0.750 0.000 0.602
Er: 0.500 0.333 0.667
Pd: 0.250 0.602 0.602
Er: 0.500 0.667 0.333
Er: 0.000 0.333 0.667

[9]
Er4Pd | PBE | optimized geometry

Values from the calculation:
Its calculated total energy is -49.759 eV for the cell shown. The value obtained for the volume is 142.3 Å³/f.u. The offset from the most stable computed form is 0.000 eV/atom.

a = 7.248 Å, b = 7.248 Å, c = 7.231 Å
α = 104.49°, β = 104.49°, γ = 120.06°
Fractional coordinates of all 10 atoms:
Er: 0.139 0.483 0.754
Er: 0.181 0.928 0.156
Er: 0.772 0.025 0.844
Er: 0.178 0.931 0.656
Pd: 0.331 0.331 0.000
Er: 0.729 0.385 0.246
Pd: 0.581 0.081 0.500
Er: 0.733 0.889 0.254
Er: 0.275 0.522 0.344
Er: 0.635 0.479 0.746

[10]
ErPd4 | PBE | optimized geometry

Values from the calculation:
Its calculated total energy is -22.092 eV for the cell shown. The value obtained for the volume is 117.5 Å³/f.u.

a = 4.898 Å, b = 4.898 Å, c = 4.898 Å
α = 90.00°, β = 90.00°, γ = 90.00°
Fractional coordinates of all 5 atoms:
Pd: 0.000 0.500 0.500
Pd: 0.500 0.000 0.500
Pd: 0.500 0.500 0.000
Pd: 0.000 0.000 0.000
Er: 0.500 0.500 0.500